Run i
Density functional theory data (GGA-PBE) for crystalline RbLiPb2 at its relaxed geometry.

Unit cell a=7.486 b=7.486 c=7.486 alpha=38.11 beta=38.11 gamma=38.11
Fractional coordinates of all 4 atoms:
Rb  0.000  0.000  0.000
Li  0.817  0.817  0.817
Pb  0.208  0.208  0.208
Pb  0.462  0.462  0.462

The density comes out at 5865 kg/m3. Its spin magnetization is 0.00 μB per atom.

Run ii
Density functional theory data (GGA-PBE) for crystalline RbLiPb2 at its relaxed geometry.

Unit cell a=3.790 b=3.790 c=8.622 alpha=90.00 beta=90.00 gamma=90.00
Fractional coordinates of all 4 atoms:
Rb  0.000  0.000  0.000
Li  0.000  0.000  0.500
Pb  0.500  0.500  0.320
Pb  0.500  0.500  0.680

The density comes out at 6795 kg/m3. Its spin magnetization is 0.00 μB per atom.

Last place for stability: run ii

Run i
Density functional theory data (GGA-PBE) for crystalline RbLi2Pb2 at its relaxed geometry.

Unit cell a=6.559 b=6.559 c=6.559 alpha=131.50 beta=131.50 gamma=71.03
Fractional coordinates of all 5 atoms:
Rb  0.000  0.000  0.000
Li  0.250  0.750  0.500
Li  0.750  0.250  0.500
Pb  0.362  0.362  0.000
Pb  0.638  0.638  0.000

The density comes out at 5504 kg/m3. Its spin magnetization is 0.00 μB per atom.

Run ii
Density functional theory data (GGA-PBE) for crystalline RbLi2Pb2 at its relaxed geometry.

Unit cell a=9.196 b=9.196 c=3.360 alpha=90.00 beta=90.00 gamma=90.00
Fractional coordinates of all 10 atoms:
Rb  0.000  0.000  0.000
Rb  0.500  0.500  0.000
Li  0.151  0.349  0.000
Li  0.349  0.849  0.000
Li  0.651  0.151  0.000
Li  0.849  0.651  0.000
Pb  0.128  0.628  0.500
Pb  0.372  0.128  0.500
Pb  0.628  0.872  0.500
Pb  0.872  0.372  0.500

The density comes out at 6006 kg/m3. Its spin magnetization is 0.00 μB per atom.

Last place for stability: run i

Run i
Density functional theory data (GGA-PBE) for crystalline Rb3LiPb4 at its relaxed geometry.

Unit cell a=7.142 b=13.619 c=7.020 alpha=90.00 beta=90.00 gamma=90.00
Fractional coordinates of all 16 atoms:
Rb  0.250  0.003  0.170
Rb  0.250  0.250  0.540
Rb  0.250  0.497  0.170
Rb  0.750  0.503  0.830
Rb  0.750  0.750  0.460
Rb  0.750  0.997  0.830
Li  0.250  0.750  0.314
Li  0.750  0.250  0.686
Pb  0.016  0.750  0.964
Pb  0.250  0.632  0.668
Pb  0.250  0.868  0.668
Pb  0.484  0.750  0.964
Pb  0.516  0.250  0.036
Pb  0.750  0.132  0.332
Pb  0.750  0.368  0.332
Pb  0.984  0.250  0.036

The density comes out at 5312 kg/m3. Its spin magnetization is 0.00 μB per atom.

Run ii
Density functional theory data (GGA-PBE) for crystalline Rb3LiPb4 at its relaxed geometry.

Unit cell a=9.053 b=9.053 c=10.754 alpha=90.00 beta=90.00 gamma=133.30
Fractional coordinates of all 16 atoms:
Rb  0.115  0.885  0.543
Rb  0.115  0.885  0.957
Rb  0.278  0.722  0.250
Rb  0.722  0.278  0.750
Rb  0.885  0.115  0.043
Rb  0.885  0.115  0.457
Li  0.500  0.500  0.000
Li  0.500  0.500  0.500
Pb  0.240  0.307  0.750
Pb  0.307  0.240  0.250
Pb  0.334  0.666  0.606
Pb  0.334  0.666  0.894
Pb  0.666  0.334  0.106
Pb  0.666  0.334  0.394
Pb  0.693  0.760  0.750
Pb  0.760  0.693  0.250

The density comes out at 5655 kg/m3. Its spin magnetization is 0.00 μB per atom.

Last place for stability: run i

Run i
Density functional theory data (GGA-PBE) for crystalline RbLi3Pb at its relaxed geometry.

Unit cell a=5.387 b=5.387 c=5.387 alpha=90.00 beta=90.00 gamma=90.00
Fractional coordinates of all 5 atoms:
Rb  0.000  0.000  0.000
Li  0.000  0.000  0.500
Li  0.000  0.500  0.000
Li  0.500  0.000  0.000
Pb  0.500  0.500  0.500

The density comes out at 3330 kg/m3. Its spin magnetization is 0.00 μB per atom.

Run ii
Density functional theory data (GGA-PBE) for crystalline RbLi3Pb at its relaxed geometry.

Unit cell a=5.454 b=5.454 c=5.454 alpha=90.00 beta=90.00 gamma=90.00
Fractional coordinates of all 5 atoms:
Rb  0.000  0.000  0.000
Li  0.000  0.500  0.500
Li  0.500  0.000  0.500
Li  0.500  0.500  0.000
Pb  0.500  0.500  0.500

The density comes out at 3208 kg/m3. Its spin magnetization is 0.00 μB per atom.

Last place for stability: run i